Density functional theory data (PBE with a Hubbard U) for BWOF2 after structural relaxation.

It has space group P4/mmm (No. 123), with a = 4.240 Å, b = 4.240 Å, c = 4.035 Å, α = 90.00°, β = 90.00° and γ = 90.00°. Symmetry generates all atoms from B at (0.000, 0.000, 0.000), W at (0.500, 0.500, 0.500), O at (0.500, 0.500, 0.000) and F at (0.000, 0.500, 0.500).

The total energy is -5.17 eV per atom.